# Sm2YGaC (PBE, optimized geometry)
data_Sm2YGaC
_symmetry_space_group_name_H-M 'P 4/m m m'
_symmetry_Int_Tables_number 123
_symmetry_space_group_name_Hall '-P 4 2'
_cell_length_a 5.000
_cell_length_b 5.000
_cell_length_c 4.872
_cell_angle_alpha 90.00
_cell_angle_beta 90.00
_cell_angle_gamma 90.00
loop_
_atom_site_label
_atom_site_fract_x
_atom_site_fract_y
_atom_site_fract_z
Sm1 0.000 0.500 0.000
Y1 0.000 0.000 0.500
Ga1 0.500 0.500 0.500
C1 0.000 0.000 0.000
# Spin magnetization ... 0.000 μB/f.u.
# Calculated formation energy ... -367 meV per atom
# Energy ... -5.9979 eV/atom